1.
ScCrPt2Pb | PBE | relaxed

Values from the calculation:
Calculated formation energy: 0.39 eV/atom

```
data_ScCrPt2Pb
_chemical_formula_sum 'Sc1 Cr1 Pt2 Pb1'
_cell_length_a 4.6871
_cell_length_b 4.6871
_cell_length_c 4.9342
_cell_angle_alpha 90.00
_cell_angle_beta 90.00
_cell_angle_gamma 90.00
_symmetry_space_group_name_H-M 'P 4/m m m'
_symmetry_Int_Tables_number 123
_symmetry_space_group_name_Hall '-P 4 2'
loop_
_atom_site_label
_atom_site_type_symbol
_atom_site_fract_x
_atom_site_fract_y
_atom_site_fract_z
_atom_site_occupancy
Sc1 Sc 0.0000 0.0000 0.0000 1
Cr1 Cr 0.5000 0.5000 0.5000 1
Pt1 Pt 0.0000 0.5000 0.5000 1
Pb1 Pb 0.5000 0.5000 0.0000 1
```



2.
CrSi2Pt7Pb2 | PBE | relaxed

Values from the calculation:
ΔE_f (raw): -370.0 meV per atom

```
data_CrSi2Pt7Pb2
_chemical_formula_sum 'Cr2 Si4 Pt14 Pb4'
_cell_length_a 3.9086
_cell_length_b 3.9086
_cell_length_c 30.2422
_cell_angle_alpha 90.00
_cell_angle_beta 90.00
_cell_angle_gamma 90.00
_symmetry_space_group_name_H-M 'I 4/m m m'
_symmetry_Int_Tables_number 139
_symmetry_space_group_name_Hall '-I 4 2'
loop_
_atom_site_label
_atom_site_type_symbol
_atom_site_fract_x
_atom_site_fract_y
_atom_site_fract_z
_atom_site_occupancy
Cr1 Cr 0.0000 0.0000 0.0000 1
Si1 Si 0.0000 0.0000 0.3859 1
Pt1 Pt 0.0000 0.0000 0.3093 1
Pt2 Pt 0.0000 0.0000 0.5000 1
Pt3 Pt 0.0000 0.5000 0.0668 1
Pb1 Pb 0.0000 0.0000 0.2094 1
```



3.
VCrPt2Pb | PBE | relaxed

Values from the calculation:
Calculated formation energy: 1.47 eV/atom

```
data_VCrPt2Pb
_chemical_formula_sum 'V1 Cr1 Pt2 Pb1'
_cell_length_a 5.0487
_cell_length_b 5.0487
_cell_length_c 5.0358
_cell_angle_alpha 90.00
_cell_angle_beta 90.00
_cell_angle_gamma 90.00
_symmetry_space_group_name_H-M 'P 4/m m m'
_symmetry_Int_Tables_number 123
_symmetry_space_group_name_Hall '-P 4 2'
loop_
_atom_site_label
_atom_site_type_symbol
_atom_site_fract_x
_atom_site_fract_y
_atom_site_fract_z
_atom_site_occupancy
V1 V 0.0000 0.0000 0.0000 1
Cr1 Cr 0.5000 0.5000 0.0000 1
Pt1 Pt 0.0000 0.5000 0.5000 1
Pb1 Pb 0.5000 0.5000 0.5000 1
```



4.
RbCrPb2 | PBE | relaxed

Values from the calculation:
Calculated formation energy: 0.50 eV/atom
Polymorph energy (0 for the lowest one): 2.75 kJ/mol of atoms

```
data_RbCrPb2
_chemical_formula_sum 'Rb4 Cr4 Pb8'
_cell_length_a 7.8178
_cell_length_b 7.8178
_cell_length_c 7.8178
_cell_angle_alpha 90.00
_cell_angle_beta 90.00
_cell_angle_gamma 90.00
_symmetry_space_group_name_H-M 'F m -3 m'
_symmetry_Int_Tables_number 225
_symmetry_space_group_name_Hall '-F 4 2 3'
loop_
_atom_site_label
_atom_site_type_symbol
_atom_site_fract_x
_atom_site_fract_y
_atom_site_fract_z
_atom_site_occupancy
Rb1 Rb 0.0000 0.0000 0.0000 1
Cr1 Cr 0.0000 0.0000 0.5000 1
Pb1 Pb 0.2500 0.2500 0.2500 1
```



5.
RbCr3Pb | PBE | relaxed

Values from the calculation:
Calculated formation energy: 1.21 eV/atom
Polymorph energy (0 for the lowest one): 0.00 kJ/mol of atoms

```
data_RbCr3Pb
_chemical_formula_sum 'Rb1 Cr3 Pb1'
_cell_length_a 5.5362
_cell_length_b 5.5362
_cell_length_c 5.5362
_cell_angle_alpha 90.00
_cell_angle_beta 90.00
_cell_angle_gamma 90.00
_symmetry_space_group_name_H-M 'P m -3 m'
_symmetry_Int_Tables_number 221
_symmetry_space_group_name_Hall '-P 4 2 3'
loop_
_atom_site_label
_atom_site_type_symbol
_atom_site_fract_x
_atom_site_fract_y
_atom_site_fract_z
_atom_site_occupancy
Rb1 Rb 0.0000 0.0000 0.0000 1
Cr1 Cr 0.0000 0.5000 0.5000 1
Pb1 Pb 0.5000 0.5000 0.5000 1
```



6.
RbCrPb2 | PBE | relaxed

Values from the calculation:
Calculated formation energy: 0.47 eV/atom
Polymorph energy (0 for the lowest one): 0.00 kJ/mol of atoms

```
data_RbCrPb2
_chemical_formula_sum 'Rb4 Cr4 Pb8'
_cell_length_a 6.3566
_cell_length_b 6.3566
_cell_length_c 17.3137
_cell_angle_alpha 90.00
_cell_angle_beta 90.00
_cell_angle_gamma 90.00
_symmetry_space_group_name_H-M 'I 41/a m d'
_symmetry_Int_Tables_number 141
loop_
_symmetry_equiv_pos_as_xyz
'x,y,z'
'-x,-y,-z'
'-y+1/4,x+3/4,z+1/4'
'y+1/4,-x+3/4,-z+1/4'
'-x+1/2,-y,z+1/2'
'x+1/2,y,-z+1/2'
'y+1/4,-x+1/4,z+3/4'
'-y+1/4,x+1/4,-z+3/4'
'x,-y,-z'
'-x,y,z'
'-y+1/4,-x+1/4,-z+3/4'
'y+1/4,x+1/4,z+3/4'
'-x+1/2,y,-z+1/2'
'x+1/2,-y,z+1/2'
'y+1/4,x+3/4,-z+1/4'
'-y+1/4,-x+3/4,z+1/4'
'x+1/2,y+1/2,z+1/2'
'-x+1/2,-y+1/2,-z+1/2'
'-y+3/4,x+1/4,z+3/4'
'y+3/4,-x+1/4,-z+3/4'
'-x,-y+1/2,z'
'x,y+1/2,-z'
'y+3/4,-x+3/4,z+1/4'
'-y+3/4,x+3/4,-z+1/4'
'x+1/2,-y+1/2,-z+1/2'
'-x+1/2,y+1/2,z+1/2'
'-y+3/4,-x+3/4,-z+1/4'
'y+3/4,x+3/4,z+1/4'
'-x,y+1/2,-z'
'x,-y+1/2,z'
'y+3/4,x+1/4,-z+3/4'
'-y+3/4,-x+1/4,z+3/4'
loop_
_atom_site_label
_atom_site_type_symbol
_atom_site_fract_x
_atom_site_fract_y
_atom_site_fract_z
_atom_site_occupancy
Rb1 Rb 0.0000 0.2500 0.3750 1
Cr1 Cr 0.0000 0.2500 0.8750 1
Pb1 Pb 0.0000 0.0000 0.0000 1
```



7.
RbCr2Pb | PBE | relaxed

Values from the calculation:
Calculated formation energy: 1.07 eV/atom

```
data_RbCr2Pb
_chemical_formula_sum 'Rb4 Cr8 Pb4'
_cell_length_a 8.7919
_cell_length_b 8.7919
_cell_length_c 7.1994
_cell_angle_alpha 90.00
_cell_angle_beta 90.00
_cell_angle_gamma 90.00
_symmetry_space_group_name_H-M 'I -4 2 d'
_symmetry_Int_Tables_number 122
_symmetry_space_group_name_Hall 'I -4 2bw'
loop_
_atom_site_label
_atom_site_type_symbol
_atom_site_fract_x
_atom_site_fract_y
_atom_site_fract_z
_atom_site_occupancy
Rb1 Rb 0.0000 0.0000 0.0000 1
Cr1 Cr 0.1658 0.7500 0.6250 1
Pb1 Pb 0.0000 0.0000 0.5000 1
```



8.
RbCr3Pb | PBE | relaxed

Values from the calculation:
Calculated formation energy: 2.20 eV/atom
Polymorph energy (0 for the lowest one): 95.22 kJ/mol of atoms

```
data_RbCr3Pb
_chemical_formula_sum 'Rb1 Cr3 Pb1'
_cell_length_a 5.5585
_cell_length_b 5.5585
_cell_length_c 5.5585
_cell_angle_alpha 90.00
_cell_angle_beta 90.00
_cell_angle_gamma 90.00
_symmetry_space_group_name_H-M 'P m -3 m'
_symmetry_Int_Tables_number 221
_symmetry_space_group_name_Hall '-P 4 2 3'
loop_
_atom_site_label
_atom_site_type_symbol
_atom_site_fract_x
_atom_site_fract_y
_atom_site_fract_z
_atom_site_occupancy
Rb1 Rb 0.0000 0.0000 0.0000 1
Cr1 Cr 0.0000 0.0000 0.5000 1
Pb1 Pb 0.5000 0.5000 0.5000 1
```



| no. | Fermi-level density of states (states/eV/cell) | calculated volume (Å³ per atom) |
| --- | --- | --- |
| 1 | 5.87 | 21.680 |
| 2 | 17.42 | 19.251 |
| 3 | 5.21 | 25.672 |
| 4 | 9.63 | 29.863 |
| 5 | 1.96 | 33.936 |
| 6 | 7.11 | 43.724 |
| 7 | 3.75 | 34.781 |
| 8 | 1.86 | 34.349 |